Entry from the Open Quantum Materials Database: OsS after structural relaxation (PBE).

a b c (Å): 4.917 4.917 4.917
angles (deg): 90.00 90.00 90.00
Space group Fm-3m (No. 225)
Symmetry-distinct sites (fractional):
Os 0.000 0.000 0.000 [4 per cell]
S 0.000 0.000 0.500 [4 per cell]

Calculated volume (Å³/atom): 14.86
DFT total energy (eV for the cell shown): -53.420